1.
First-principles (PBE) data for a relaxed structure of Li2Pd6Pt, as listed in Alexandria.

## Properties
Density of states at the Fermi level (states/eV/f.u.): 7.6
ΔE_f (kJ/mol of formula units): -30
Magnetization (μB per cell): 0.000
ΔE to the lowest computed polymorph (eV per atom): 0.195
Crystal system: monoclinic

The structure in CIF format:
```
data_Li2Pd6Pt
_chemical_formula_sum 'Li2 Pd6 Pt1'
_cell_length_a 6.383
_cell_length_b 5.320
_cell_length_c 5.320
_cell_angle_alpha 59.99
_cell_angle_beta 89.72
_cell_angle_gamma 89.72
_symmetry_space_group_name_H-M 'P 1'
_symmetry_Int_Tables_number 1
loop_
_symmetry_equiv_pos_as_xyz
'x,y,z'
loop_
_atom_site_label
_atom_site_fract_x
_atom_site_fract_y
_atom_site_fract_z
Li1 0.895 0.667 0.667
Li2 0.105 0.333 0.333
Pd1 0.323 0.340 0.830
Pd2 0.325 0.830 0.830
Pd3 0.323 0.830 0.340
Pd4 0.677 0.660 0.170
Pd5 0.675 0.170 0.170
Pd6 0.677 0.170 0.660
Pt1 0.000 0.000 0.000
```

=====

2.
First-principles (PBE) data for a relaxed structure of LiPdPt2, as listed in Alexandria.

## Properties
Density of states at the Fermi level (states/eV/f.u.): 3.5
ΔE_f (kJ/mol of formula units): -19
Magnetization (μB per cell): 0.000
Crystal system: tetragonal

The structure in CIF format:
```
data_LiPdPt2
_chemical_formula_sum 'Li2 Pd2 Pt4'
_cell_length_a 3.740
_cell_length_b 3.740
_cell_length_c 9.606
_cell_angle_alpha 78.78
_cell_angle_beta 78.78
_cell_angle_gamma 90.00
_symmetry_space_group_name_H-M 'P 1'
_symmetry_Int_Tables_number 1
loop_
_symmetry_equiv_pos_as_xyz
'x,y,z'
loop_
_atom_site_label
_atom_site_fract_x
_atom_site_fract_y
_atom_site_fract_z
Pd1 0.000 0.000 0.000
Pd2 0.750 0.250 0.500
Pt1 0.622 0.125 0.250
Pt2 0.128 0.625 0.250
Pt3 0.375 0.378 0.750
Pt4 0.875 0.872 0.750
Li1 0.500 0.500 0.000
Li2 0.250 0.750 0.500
```